Version 1
A relaxed structure of SrW2Au, computed with PBE-GGA.

```
SrW2Au
1.0
-0.315 1.077 -4.653
-2.919 0.754 -3.718
-0.416 6.614 1.123
W Au Sr
2 1 1
direct
0.995 0.995 0.069
0.241 0.241 0.229
0.507 0.507 0.451
0.757 0.757 0.751
```

## Properties
space-group type: No. 8

***

Version 2
A relaxed structure of SrW2Au, computed with PBE-GGA.

```
SrW2Au
1.0
2.801 0.056 0.000
-0.210 2.794 0.000
0.000 0.000 9.912
Sr Au W
1 1 2
direct
0.500 0.500 0.750
0.500 0.500 0.250
0.000 0.000 0.470
0.000 0.000 0.030
```

## Properties
space-group type: No. 65

***

Version 3
A relaxed structure of SrW2Au, computed with PBE-GGA.

```
SrW2Au
1.0
-3.311 -1.146 0.726
0.879 -0.355 3.450
-2.073 6.767 1.225
Au W Sr
1 2 1
direct
0.500 0.500 0.250
0.000 0.000 0.087
0.000 0.000 0.413
0.500 0.500 0.750
```

## Properties
space-group type: No. 123

***

Version 4
A relaxed structure of SrW2Au, computed with PBE-GGA.

```
SrW2Au
1.0
2.821 0.000 0.000
0.000 2.821 0.000
0.000 0.000 9.747
W Sr Au
2 1 1
direct
0.500 0.500 0.257
0.000 0.000 0.029
0.500 0.500 0.743
0.000 0.000 0.471
```

## Properties
space-group type: No. 99

***

version 4 takes first place; second place is 72 meV/atom up.